A plane-wave DFT calculation with PBE was carried out for crystalline Pm2SmInN at its relaxed geometry.

The crystal system is tetragonal. Its energy relative to the elements, uncorrected is -903 meV per atom.

It has space group P4/mmm (No. 123), with a = 4.9929 Å, b = 4.9929 Å, c = 4.9629 Å, α = 90.00°, β = 90.00° and γ = 90.00°. Symmetry generates all atoms from Pm at (0.0000, 0.5000, 0.0000), Sm at (0.0000, 0.0000, 0.5000), In at (0.5000, 0.5000, 0.5000) and N at (0.0000, 0.0000, 0.0000).

A plane-wave DFT calculation with PBE was carried out for crystalline NdTiCd4 at its relaxed geometry.

The crystal system is cubic. The energy relative to the elements is -5.52 kJ per mole of atoms.

It has space group F-43m (No. 216), with a = 8.2292 Å, b = 8.2292 Å, c = 8.2292 Å, α = 90.00°, β = 90.00° and γ = 90.00°. Symmetry generates all atoms from Nd at (0.0000, 0.0000, 0.0000), Ti at (0.2500, 0.2500, 0.7500) and Cd at (0.1245, 0.1245, 0.3755).

A plane-wave DFT calculation with PBE was carried out for crystalline AcPmAu at its relaxed geometry.

The crystal system is monoclinic. The energy relative to the elements is -51.84 kJ per mole of atoms.

It has space group P2_1/m (No. 11), with a = 8.5046 Å, b = 5.1979 Å, c = 13.0406 Å, α = 90.00°, β = 91.18° and γ = 90.00°. Symmetry generates all atoms from Ac at (0.0292, 0.2500, 0.2266), Ac at (0.3566, 0.7500, 0.5833), Ac at (0.4628, 0.7500, 0.8844), Pm at (0.0425, 0.2500, 0.5800), Pm at (0.1383, 0.2500, 0.9492), Pm at (0.3470, 0.7500, 0.2819), Au at (0.2164, 0.7500, 0.0650), Au at (0.2734, 0.2500, 0.4063) and Au at (0.2990, 0.2500, 0.7472).

A plane-wave DFT calculation with PBE was carried out for crystalline Cd2CuTe at its relaxed geometry.

The crystal system is tetragonal. Its energy relative to the elements, uncorrected is 119 meV per atom.

It has space group I-42d (No. 122), with a = 4.6777 Å, b = 4.6777 Å, c = 18.2913 Å, α = 90.00°, β = 90.00° and γ = 90.00°. Symmetry generates all atoms from Cd at (0.1774, 0.2500, 0.1250), Cu at (0.0000, 0.0000, 0.0000) and Te at (0.0000, 0.0000, 0.5000).